Cu2SiRu (PBE-GGA, relaxed); crystal system = orthorhombic; space group = Cmmm; electronic total energy = -5.45 eV per atom; density of states at the Fermi level = 0.68 states/eV per atom
1.0
2.6537 -0.0094 0.0000
-1.3079 2.3091 0.0000
0.0000 0.0000 8.6486
Ru Si Cu
1 1 2
Cartesian
0.6729 1.1499 2.1622 Ru
0.6729 1.1499 6.4865 Si
0.0000 0.0000 4.4172 Cu
0.0000 0.0000 8.5557 Cu